# 1
5
Lattice="5.031 0.000 0.000 0.000 5.031 0.000 0.000 0.000 4.701" Properties=species:S:1:pos:R:3 comment="TcBiAsSe2 (PBE-GGA, optimized geometry)" sg="P4/mmm, No. 123" rho_g_cm3=7.53 final_energy_ev_per_atom=-4.84 formation_energy_uncorrected_ev_per_atom=0.33 e_above_lowest_polymorph_mev_per_atom=0 crystal_system=tetragonal pbc="T T T"
Tc 0.000 0.000 0.000
Bi 2.515 2.515 2.351
As 0.000 0.000 2.351
Se 0.000 2.515 0.000
Se 2.515 0.000 0.000

# 2
5
Lattice="4.691 0.000 0.000 0.000 4.691 0.000 0.000 0.000 5.533" Properties=species:S:1:pos:R:3 comment="TcBiAs2Se (PBE-GGA, optimized geometry)" sg="P4/mmm, No. 123" rho_g_cm3=7.31 final_energy_ev_per_atom=-5.06 formation_energy_uncorrected_ev_per_atom=0.34 e_above_lowest_polymorph_mev_per_atom=0 crystal_system=tetragonal pbc="T T T"
Tc 0.000 0.000 0.000
Bi 2.346 2.346 2.767
As 0.000 2.346 0.000
As 2.346 0.000 0.000
Se 0.000 0.000 2.767

# 3
5
Lattice="5.292 0.000 0.000 0.000 5.292 0.000 0.000 0.000 5.376" Properties=species:S:1:pos:R:3 comment="BiTeAsSe2 (PBE-GGA, optimized geometry)" sg="P4/mmm, No. 123" rho_g_cm3=6.28 final_energy_ev_per_atom=-3.15 formation_energy_uncorrected_ev_per_atom=0.57 e_above_lowest_polymorph_mev_per_atom=0 crystal_system=tetragonal pbc="T T T"
Bi 0.000 0.000 0.000
Te 2.646 2.646 2.688
As 2.646 2.646 0.000
Se 0.000 2.646 2.688
Se 2.646 0.000 2.688

# 4
8
Lattice="7.471 0.000 0.000 0.000 4.299 0.000 -2.474 0.000 7.179" Properties=species:S:1:pos:R:3 comment="Th4BiAs2Se (PBE-GGA, optimized geometry)" sg="P2/m, No. 10" rho_g_cm3=9.84 final_energy_ev_per_atom=-7.00 formation_energy_uncorrected_ev_per_atom=-1.21 crystal_system=monoclinic pbc="T T T"
Th 1.167 0.000 1.610
Th -0.068 2.150 5.516
Th 5.066 2.150 1.662
Th 3.831 0.000 5.568
Bi 2.499 2.150 3.589
As 0.000 2.150 0.000
As 3.736 0.000 0.000
Se -1.237 0.000 3.589

# 5
12
Lattice="9.397 -2.149 0.000 9.397 2.149 0.000 -2.104 0.000 8.354" Properties=species:S:1:pos:R:3 comment="Th6BiAs3Se2 (PBE-GGA, optimized geometry)" sg="C2/m, No. 12" rho_g_cm3=9.76 final_energy_ev_per_atom=-7.07 formation_energy_uncorrected_ev_per_atom=-1.30 crystal_system=monoclinic pbc="T T T"
Th 18.308 0.000 1.900
Th -1.618 0.000 6.454
Th 5.216 0.000 3.496
Th 4.378 0.000 7.618
Th 12.312 0.000 0.736
Th 11.474 0.000 4.859
Bi 8.345 0.000 4.177
As 2.354 0.000 2.768
As 9.397 0.000 0.000
As 14.337 0.000 5.586
Se 1.405 0.000 6.963
Se 15.286 0.000 1.391

# 6
8
Lattice="7.363 0.000 0.000 0.000 4.327 0.000 -2.536 0.000 7.169" Properties=species:S:1:pos:R:3 comment="Th4BiAsSe2 (PBE-GGA, optimized geometry)" sg="P2/m, No. 10" rho_g_cm3=9.96 final_energy_ev_per_atom=-6.89 formation_energy_uncorrected_ev_per_atom=-1.24 crystal_system=monoclinic pbc="T T T"
Th 1.123 0.000 1.612
Th -0.144 2.163 5.500
Th 4.972 2.163 1.669
Th 3.704 0.000 5.557
Bi 2.414 2.163 3.585
As 3.682 0.000 0.000
Se -1.268 0.000 3.585
Se 0.000 2.163 0.000

Copy entry 5 word for word.
12
Lattice="9.397 -2.149 0.000 9.397 2.149 0.000 -2.104 0.000 8.354" Properties=species:S:1:pos:R:3 comment="Th6BiAs3Se2 (PBE-GGA, optimized geometry)" sg="C2/m, No. 12" rho_g_cm3=9.76 final_energy_ev_per_atom=-7.07 formation_energy_uncorrected_ev_per_atom=-1.30 crystal_system=monoclinic pbc="T T T"
Th 18.308 0.000 1.900
Th -1.618 0.000 6.454
Th 5.216 0.000 3.496
Th 4.378 0.000 7.618
Th 12.312 0.000 0.736
Th 11.474 0.000 4.859
Bi 8.345 0.000 4.177
As 2.354 0.000 2.768
As 9.397 0.000 0.000
As 14.337 0.000 5.586
Se 1.405 0.000 6.963
Se 15.286 0.000 1.391